Entry A
HIrSe2Br (GGA-PBE, relaxed); magnetization = 0.093 μB/atom; mass density = 5.63 g cm⁻³
1.0
4.822 0.000 0.000
0.000 4.822 0.000
0.000 0.000 5.467
H Ir Se Br
1 1 2 1
Cartesian
2.411 2.411 2.733 H
0.000 0.000 0.000 Ir
0.000 2.411 0.000 Se
2.411 0.000 0.000 Se
0.000 0.000 2.733 Br

---

Entry B
HIrSe2Br (GGA-PBE, relaxed); magnetization = 0.000 μB/atom; mass density = 8.41 g cm⁻³
1.0
-3.326 -1.891 0.901
2.019 -3.345 0.432
0.784 1.162 5.331
H Ir Se Br
1 1 2 1
Cartesian
0.000 0.000 0.000 H
-0.262 -2.037 3.332 Ir
1.009 -1.672 0.216 Se
-1.663 -0.946 0.451 Se
0.392 0.581 2.666 Br

---

Stability summary - winner: entry A; margin: 276 meV/atom.

---

Entry A
KHBr2 (GGA-PBE, relaxed); magnetization = 0.000 μB/atom; mass density = 2.14 g cm⁻³
1.0
-2.486 -3.731 4.115
2.294 -5.172 -3.303
14.191 -1.992 6.767
K H Br
4 4 8
Cartesian
6.920 -6.535 0.366 K
7.080 -4.359 7.212 K
2.451 -3.969 -0.007 K
11.549 -6.925 7.585 K
10.280 -5.023 2.296 H
3.719 -5.871 5.282 H
14.094 -6.253 3.485 H
-0.095 -4.642 4.093 H
12.023 -9.879 5.942 Br
1.976 -1.016 1.637 Br
8.487 -7.198 6.236 Br
5.513 -3.697 1.342 Br
0.261 -4.814 2.423 Br
13.739 -6.080 5.156 Br
4.319 -4.265 5.372 Br
9.680 -6.629 2.206 Br

---

Entry B
KHBr2 (GGA-PBE, relaxed); magnetization = 0.000 μB/atom; mass density = 2.22 g cm⁻³
1.0
5.160 0.000 0.000
-2.580 4.469 0.000
0.000 0.000 12.945
K H Br
2 2 4
Cartesian
0.000 0.000 6.472 K
0.000 0.000 0.000 K
2.580 1.490 9.709 H
0.000 2.979 3.236 H
2.580 1.490 8.002 Br
2.580 1.490 11.415 Br
0.000 2.979 4.943 Br
0.000 2.979 1.529 Br

---

Stability summary - winner: entry B; margin: 30 meV/atom.

---

Entry A
KHBr (GGA-PBE, relaxed); magnetization = 0.000 μB/atom; mass density = 2.55 g cm⁻³
1.0
-0.140 3.160 2.718
-2.772 -2.498 2.762
6.332 0.161 6.500
K H Br
2 2 2
Cartesian
4.185 -0.346 8.025 K
2.204 2.477 4.689 K
4.394 1.754 6.233 H
4.409 1.186 5.734 H
0.194 1.852 2.108 Br
1.988 -0.858 5.356 Br

---

Entry B
KHBr (GGA-PBE, relaxed); magnetization = 0.000 μB/atom; mass density = 2.20 g cm⁻³
1.0
6.039 0.131 -0.015
2.866 4.605 -0.011
-0.023 -0.010 6.599
K H Br
2 2 2
Cartesian
6.558 3.501 2.641 K
0.651 0.075 5.986 K
3.650 1.515 0.762 H
3.583 2.072 1.269 H
0.645 0.103 2.702 Br
6.565 3.473 5.925 Br

---

Stability summary - winner: entry B; margin: 20 meV/atom.

---

Entry A
K2H6Br (GGA-PBE, relaxed); magnetization = 0.000 μB/atom; mass density = 2.10 g cm⁻³
1.0
4.923 0.000 2.842
1.641 4.642 2.842
0.000 0.000 5.685
H K Br
6 2 1
Cartesian
2.442 3.509 4.229 H
4.122 1.132 4.229 H
2.442 3.509 7.140 H
4.122 1.132 7.140 H
4.963 3.509 5.685 H
1.601 1.132 5.685 H
4.923 3.481 8.527 K
1.641 1.160 2.842 K
0.000 0.000 0.000 Br

---

Entry B
K2H6Br (GGA-PBE, relaxed); magnetization = 0.000 μB/atom; mass density = 1.58 g cm⁻³
1.0
0.058 6.739 2.790
-2.655 5.000 6.445
3.969 5.391 5.364
K H Br
2 6 1
Cartesian
0.525 4.736 4.927 K
1.216 12.522 11.979 K
-0.565 8.611 8.127 H
0.770 9.357 5.767 H
0.030 9.314 5.887 H
1.886 8.103 7.394 H
-0.360 7.970 7.761 H
2.121 8.769 7.689 H
1.181 9.526 10.676 Br

---

Stability summary - winner: entry B; margin: 934 meV/atom.

---

Entry A
K2HBrO (GGA-PBE, relaxed); magnetization = 0.019 μB/atom; mass density = 2.41 g cm⁻³
1.0
-0.876 -1.237 4.023
4.928 -4.748 -0.386
7.372 3.537 2.693
Br H K O
2 2 4 2
Cartesian
6.033 -3.141 1.497 Br
5.390 0.693 4.833 Br
9.719 -1.487 2.808 H
1.705 -0.961 3.521 H
4.059 -0.358 1.923 K
7.364 -2.090 4.407 K
8.332 1.713 3.490 K
3.091 -4.161 2.840 K
9.259 -0.641 2.968 O
2.165 -1.807 3.362 O

---

Entry B
K2HBrO (GGA-PBE, relaxed); magnetization = 0.009 μB/atom; mass density = 2.30 g cm⁻³
1.0
-4.664 1.317 -5.834
-3.034 -6.897 0.868
0.857 4.455 5.251
K H Br O
4 2 2 2
Cartesian
-2.533 -0.418 4.396 K
-4.865 0.241 1.479 K
-3.348 3.690 1.045 K
-1.015 3.031 3.962 K
-5.863 -1.670 -0.620 H
-2.013 1.120 1.863 H
-3.734 1.438 -1.621 Br
-2.918 -2.669 1.731 Br
-6.525 -1.301 -0.007 O
-2.676 1.489 2.476 O

---

Stability summary - winner: entry A; margin: 22 meV/atom.

---

Entry A
KHSeBr2 (GGA-PBE, relaxed); magnetization = 0.133 μB/atom; mass density = 3.92 g cm⁻³
1.0
-5.405 -1.384 1.130
0.305 -4.261 -3.762
1.126 -2.246 2.635
H K Se Br
1 1 1 2
Cartesian
0.000 0.000 0.000 H
-1.987 -3.946 0.001 K
0.563 -1.123 1.318 Se
0.153 -2.131 -1.881 Br
-2.702 -0.692 0.565 Br

---

Entry B
KHSeBr2 (GGA-PBE, relaxed); magnetization = 0.802 μB/atom; mass density = 1.73 g cm⁻³
1.0
6.307 0.000 0.000
0.000 6.307 0.000
0.000 0.000 6.727
H K Se Br
1 1 1 2
Cartesian
3.154 3.154 3.364 H
0.000 0.000 0.000 K
0.000 0.000 3.364 Se
0.000 3.154 0.000 Br
3.154 0.000 0.000 Br

---

Stability summary - winner: entry A; margin: 778 meV/atom.

---

Entry A
LaHSeBr2 (GGA-PBE, relaxed); magnetization = 0.000 μB/atom; mass density = 5.87 g cm⁻³
1.0
-3.796 2.975 1.766
-2.321 -3.287 0.546
1.830 -0.499 4.773
H Se Br La
1 1 2 1
Cartesian
0.000 0.000 0.000 H
-1.161 -1.643 0.273 Se
0.915 -0.250 2.387 Br
-1.898 1.487 0.883 Br
-2.144 -0.406 3.543 La

---

Entry B
LaHSeBr2 (GGA-PBE, relaxed); magnetization = 0.400 μB/atom; mass density = 3.04 g cm⁻³
1.0
5.899 0.000 0.000
0.000 5.899 0.000
0.000 0.000 5.940
H Se Br La
1 1 2 1
Cartesian
2.950 2.950 2.970 H
0.000 0.000 2.970 Se
0.000 2.950 0.000 Br
2.950 0.000 0.000 Br
0.000 0.000 0.000 La

---

Stability summary - winner: entry A; margin: 38 meV/atom.

---

Entry A
LaHSe2Br (GGA-PBE, relaxed); magnetization = 0.000 μB/atom; mass density = 6.15 g cm⁻³
1.0
-0.396 -3.834 -2.054
1.566 -2.050 3.524
-4.965 -0.510 1.910
H Se Br La
1 2 1 1
Cartesian
0.000 0.000 0.000 H
0.783 -1.025 1.762 Se
-0.198 -1.917 -1.027 Se
-2.483 -0.255 0.955 Br
-1.898 -3.197 1.690 La

---

Entry B
LaHSe2Br (GGA-PBE, relaxed); magnetization = 0.596 μB/atom; mass density = 3.02 g cm⁻³
1.0
-5.460 2.123 -0.875
-1.266 -4.666 -3.421
-1.914 -2.964 4.752
H Se Br La
1 2 1 1
Cartesian
-4.320 -2.754 0.228 H
-0.633 -2.333 -1.710 Se
-2.730 1.061 -0.438 Se
-0.957 -1.482 2.376 Br
0.000 0.000 0.000 La

---

Stability summary - winner: entry A; margin: 434 meV/atom.

---

Entry A
LiHBr2 (GGA-PBE, relaxed); magnetization = 0.000 μB/atom; mass density = 3.03 g cm⁻³
1.0
-5.373 -2.537 3.071
-2.902 -5.672 2.035
-2.065 -3.402 5.375
H Br Li
1 2 1
Cartesian
0.000 0.000 0.000 H
-9.397 -10.553 9.526 Br
-0.942 -1.058 0.955 Br
-5.170 -5.806 5.241 Li

---

Entry B
LiHBr2 (GGA-PBE, relaxed); magnetization = 0.000 μB/atom; mass density = 3.16 g cm⁻³
1.0
-0.380 3.668 -1.887
-7.123 -1.013 -0.532
2.126 1.163 6.378
Li H Br
2 2 4
Cartesian
-5.536 1.723 2.130 Li
-1.781 0.398 3.337 Li
-6.411 -0.692 -0.117 H
-2.850 -0.187 0.150 H
-4.259 0.490 4.547 Br
0.309 3.969 0.241 Br
-3.020 1.201 1.137 Br
-0.932 3.254 3.651 Br

---

Stability summary - winner: entry A; margin: 12 meV/atom.

---

Entry A
Li2HBr (GGA-PBE, relaxed); magnetization = 0.000 μB/atom; mass density = 2.34 g cm⁻³
1.0
5.164 0.000 0.000
0.000 5.164 0.000
2.582 2.582 5.054
H Br Li
2 2 4
Cartesian
2.582 2.582 0.000 H
2.582 5.164 2.527 H
0.000 0.000 0.000 Br
5.164 2.582 2.527 Br
3.375 1.291 1.263 Li
1.788 3.873 1.263 Li
3.873 4.370 3.790 Li
6.455 5.957 3.790 Li

---

Entry B
Li2HBr (GGA-PBE, relaxed); magnetization = 0.000 μB/atom; mass density = 2.58 g cm⁻³
1.0
-0.537 1.458 3.190
-1.335 -1.956 2.643
4.549 -1.621 3.480
H Br Li
1 1 2
Cartesian
0.000 0.000 0.000 H
1.339 -1.059 4.656 Br
0.442 -0.466 2.261 Li
2.236 -1.653 7.052 Li

---

Stability summary - winner: entry A; margin: 72 meV/atom.

---

Entry A
Li2HBr (GGA-PBE, relaxed); magnetization = 0.000 μB/atom; mass density = 2.50 g cm⁻³
1.0
-2.915 -1.962 0.195
0.048 -3.053 1.749
-2.509 1.126 5.576
Li H Br
2 1 1
Cartesian
-2.187 0.546 4.554 Li
-1.285 -1.078 1.694 Li
-4.399 -2.256 6.804 H
-2.701 -1.920 3.802 Br

---

Entry B
Li2HBr (GGA-PBE, relaxed); magnetization = 0.000 μB/atom; mass density = 2.59 g cm⁻³
1.0
0.000 3.120 3.120
3.120 0.000 3.120
3.120 3.120 0.000
H Br Li
1 1 2
Cartesian
0.000 0.000 0.000 H
3.120 3.120 3.120 Br
1.560 1.560 1.560 Li
4.680 4.680 4.680 Li

---

Stability summary - winner: entry A; margin: 167 meV/atom.